Here is a relaxed structure of Ac4LaPm from Alexandria. Energies are from PBE.

Output
* total magnetization: 0.00 μB per formula unit
* uncorrected energy: -4.33 eV per atom
* offset from the most stable computed form: 0 meV per atom
* calculated formation energy: 0.02 eV/atom

The structure in CIF format:
```
data_Ac4LaPm
_space_group_name_H-M_alt 'C m m m'
_space_group_IT_number 65
_space_group_name_Hall '-C 2 2'
_cell_length_a 5.5422
_cell_length_b 16.3774
_cell_length_c 5.5362
_cell_angle_alpha 90.00
_cell_angle_beta 90.00
_cell_angle_gamma 90.00
loop_
_atom_site_label
_atom_site_fract_x
_atom_site_fract_y
_atom_site_fract_z
Ac1 0.0000 0.1620 0.0000
Ac2 0.0000 0.3373 0.5000
La1 0.0000 0.0000 0.5000
Pm1 0.0000 0.5000 0.0000
```


Here is a relaxed structure of KY2Hg from Alexandria. Energies are from PBE.

Output
* total magnetization: 0.00 μB per formula unit
* uncorrected energy: -3.38 eV per atom
* calculated formation energy: 0.21 eV/atom

The structure in CIF format:
```
data_KY2Hg
_space_group_name_H-M_alt 'P m m m'
_space_group_IT_number 47
_space_group_name_Hall '-P 2 2'
_cell_length_a 3.8117
_cell_length_b 5.7713
_cell_length_c 5.7888
_cell_angle_alpha 90.00
_cell_angle_beta 90.00
_cell_angle_gamma 90.00
loop_
_atom_site_label
_atom_site_fract_x
_atom_site_fract_y
_atom_site_fract_z
K1 0.0000 0.0000 0.0000
Y1 0.0000 0.5000 0.5000
Y2 0.5000 0.0000 0.5000
Hg1 0.5000 0.5000 0.0000
```


Here is a relaxed structure of SbH3Pt from Alexandria. Energies are from PBE.

Output
* total magnetization: 0.00 μB per formula unit
* uncorrected energy: -3.66 eV per atom
* offset from the most stable computed form: 0 meV per atom

The structure in CIF format:
```
data_SbH3Pt
_space_group_name_H-M_alt 'P m -3 m'
_space_group_IT_number 221
_space_group_name_Hall '-P 4 2 3'
_cell_length_a 3.7642
_cell_length_b 3.7642
_cell_length_c 3.7642
_cell_angle_alpha 90.00
_cell_angle_beta 90.00
_cell_angle_gamma 90.00
loop_
_atom_site_label
_atom_site_fract_x
_atom_site_fract_y
_atom_site_fract_z
Sb1 0.0000 0.0000 0.0000
H1 0.0000 0.5000 0.5000
Pt1 0.5000 0.5000 0.5000
```